(1)
SrAg3Au2: optimized geometry, PBE-GGA.

a = 4.672 Å, b = 5.736 Å, c = 5.736 Å
α = 120.00°, β = 90.00°, γ = 90.00°
Positions (direct):
Sr  0.000  0.001  0.000
Ag  0.500  0.001  0.500
Ag  0.500  0.501  0.500
Ag  0.500  0.501  0.000
Au  0.000  0.335  0.667
Au  0.000  0.668  0.333

## Properties
electronic total energy = -18.77 eV for the cell shown
ΔE_f = -0.33 eV/atom
calculated volume = 133.11 Å³/f.u.
crystal system = hexagonal

=====

(2)
Sr6AgAu2: optimized geometry, PBE-GGA.

a = 9.573 Å, b = 9.573 Å, c = 9.573 Å
α = 104.19°, β = 110.34°, γ = 114.03°
Positions (direct):
Sr  0.455  0.281  0.174
Sr  0.545  0.719  0.826
Sr  0.894  0.719  0.174
Sr  0.106  0.281  0.826
Sr  0.191  0.756  0.947
Sr  0.809  0.244  0.053
Sr  0.809  0.756  0.565
Sr  0.191  0.244  0.435
Sr  0.314  0.976  0.662
Sr  0.686  0.024  0.338
Sr  0.686  0.348  0.662
Sr  0.314  0.652  0.338
Ag  0.000  0.500  0.500
Ag  0.000  0.000  0.000
Au  0.500  0.372  0.872
Au  0.500  0.628  0.128
Au  0.320  0.000  0.320
Au  0.680  0.000  0.680

## Properties
electronic total energy = -46.62 eV for the cell shown
ΔE_f = -0.42 eV/atom
calculated volume = 335.15 Å³/f.u.
crystal system = orthorhombic